# 1
Zn3CdS4 | Alexandria | SCAN | PBEsol geometry; volume = 20.50 Å³/atom; ΔE_f (raw) = -0.878 eV/atom; calculated density = 4.42 g/cm³
1.0
5.474 0.000 0.000
0.000 5.474 0.000
0.000 0.000 5.474
Zn Cd S
3 1 4
direct
0.000 0.000 0.500
0.000 0.500 0.000
0.500 0.000 0.000
0.500 0.500 0.500
0.237 0.237 0.763
0.237 0.763 0.237
0.763 0.237 0.237
0.763 0.763 0.763

***

# 2
ZnCd3S4 | Alexandria | SCAN | PBEsol geometry; volume = 23.22 Å³/atom; ΔE_f (raw) = -0.793 eV/atom; calculated density = 4.75 g/cm³
1.0
5.706 0.000 0.000
0.000 5.706 0.000
0.000 0.000 5.706
Zn Cd S
1 3 4
direct
0.000 0.000 0.000
0.000 0.500 0.500
0.500 0.000 0.500
0.500 0.500 0.000
0.237 0.237 0.237
0.237 0.763 0.763
0.763 0.237 0.763
0.763 0.763 0.237

***

Q: Which of these has the highest volume?
A: ZnCd3S4

***

Q: Number 1 is which compound?
A: Zn3CdS4